## A
Material: NpSi2
Method: DFT, PBE-GGA
State: optimized geometry

Cell and atoms, written as POSCAR:
```
NpSi2
1.0
7.649 0.007 0.000
5.633 5.175 0.000
-6.641 -2.591 2.774
Np Si
2 4
direct
0.000 0.000 0.000
0.750 0.250 0.500
0.332 0.832 0.500
0.168 0.668 0.500
0.582 0.582 0.000
0.418 0.418 0.000
```

Calculated values
magnetic moment: 3.871 μB/f.u.

=====

## B
Material: NpSi2
Method: DFT, PBE-GGA
State: optimized geometry

Cell and atoms, written as POSCAR:
```
NpSi2
1.0
3.850 0.000 1.710
1.530 4.959 1.743
-0.126 0.179 5.471
Np Si
2 4
direct
0.553 0.197 0.697
0.447 0.803 0.303
0.833 0.217 0.116
0.833 0.616 0.717
0.167 0.783 0.884
0.167 0.384 0.283
```

Calculated values
magnetic moment: 3.981 μB/f.u.

=====

Tell me which of them is the least stable. Sure, it is B.

=====

## A
Material: NpSi2Tc
Method: DFT, PBE-GGA
State: optimized geometry

Cell and atoms, written as POSCAR:
```
NpSi2Tc
1.0
-2.582 0.247 -3.259
-3.375 -2.435 -0.172
-4.451 2.532 1.057
Si Np Tc
2 1 1
direct
0.717 0.717 0.850
0.283 0.283 0.150
0.500 0.500 0.500
0.000 0.000 0.000
```

Calculated values
magnetic moment: 3.207 μB/f.u.

=====

## B
Material: NpSi2Tc
Method: DFT, PBE-GGA
State: optimized geometry

Cell and atoms, written as POSCAR:
```
NpSi2Tc
1.0
-1.199 0.924 2.667
1.938 -1.837 1.507
4.616 5.119 0.302
Si Np Tc
2 1 1
direct
0.000 0.000 0.805
0.000 0.000 0.195
0.500 0.500 0.500
0.500 0.500 0.000
```

Calculated values
magnetic moment: 4.608 μB/f.u.

=====

## C
Material: NpSi2Tc
Method: DFT, PBE-GGA
State: optimized geometry

Cell and atoms, written as POSCAR:
```
NpSi2Tc
1.0
-3.513 -1.733 1.656
0.635 -2.110 -4.898
3.389 -4.570 2.408
Np Si Tc
2 4 2
direct
0.046 0.126 0.250
0.954 0.874 0.750
0.418 0.723 0.052
0.582 0.277 0.948
0.418 0.723 0.448
0.582 0.277 0.552
0.133 0.420 0.750
0.867 0.580 0.250
```

Calculated values
magnetic moment: 3.769 μB/f.u.

=====

Tell me which of them is the least stable. Sure, it is A.

=====

## A
Material: NpTi2Si
Method: DFT, PBE-GGA
State: optimized geometry

Cell and atoms, written as POSCAR:
```
NpTi2Si
1.0
-2.393 1.556 0.249
-2.180 -0.424 -1.810
-5.184 -6.203 5.432
Ti Si Np
2 1 1
direct
0.759 0.759 0.724
0.241 0.241 0.276
0.500 0.500 0.500
0.000 0.000 0.000
```

Calculated values
magnetic moment: 2.540 μB/f.u.

=====

## B
Material: NpTi2Si
Method: DFT, PBE-GGA
State: optimized geometry

Cell and atoms, written as POSCAR:
```
NpTi2Si
1.0
-0.358 1.734 -3.233
-4.247 -0.130 0.400
0.074 3.764 2.010
Ti Np Si
2 1 1
direct
0.000 0.000 0.500
0.000 0.500 0.000
0.500 0.500 0.500
0.500 0.000 0.000
```

Calculated values
magnetic moment: 3.642 μB/f.u.

=====

Tell me which of them is the least stable. Sure, it is A.